Record 1
Entry from Alexandria via LeMat-Bulk: La7TbY3 after structural relaxation (PBE).

a = 7.2911 Å, b = 7.2911 Å, c = 8.7556 Å
α = 90.00°, β = 90.00°, γ = 120.00°
Space group P3m1 (No. 156)
Asymmetric unit:
La 0.0000 0.0000 0.0000
La 0.0026 0.5013 0.0276
La 0.1682 0.3364 0.6706
Tb 0.6667 0.3333 0.6905
Y 0.3344 0.1672 0.3501

Summary:
Formation enthalpy at 0 K in eV per atom: 0.172
DOS at the Fermi energy in states/eV per atom: 1.59
Crystal system: trigonal
Offset from the most stable computed form in meV per atom: 60


Record 2
Entry from Alexandria via LeMat-Bulk: CeNdBi2 after structural relaxation (PBE).

a = 6.511 Å, b = 6.511 Å, c = 13.033 Å
α = 90.00°, β = 90.00°, γ = 90.00°
Space group I4_1/amd (No. 141, origin choice 2)
Asymmetric unit:
Ce 0.000 0.250 0.375
Nd 0.000 0.250 0.875
Bi 0.000 0.250 0.126

Summary:
Formation enthalpy at 0 K in eV per atom: -0.872
DOS at the Fermi energy in states/eV per atom: 1.88
Crystal system: tetragonal
Offset from the most stable computed form in meV per atom: 3


Record 3
Entry from Alexandria via LeMat-Bulk: MgReNi2 after structural relaxation (PBE).

a = 2.668 Å, b = 2.668 Å, c = 7.536 Å
α = 90.00°, β = 90.00°, γ = 90.00°
Space group P4mm (No. 99)
Asymmetric unit:
Mg 0.000 0.000 0.000
Re 0.500 0.500 0.701
Ni 0.000 0.000 0.467
Ni 0.500 0.500 0.251

Summary:
Formation enthalpy at 0 K in eV per atom: 0.078
DOS at the Fermi energy in states/eV per atom: 0.47
Crystal system: tetragonal